Record 1
Material: Ba2UBr3N3
Method: DFT, PBE-GGA
State: optimized geometry

Cell: 3.5525 8.6629 8.6629 Å, 120.00 90.00 90.00°
Last column: magnetic moment on the atom in μB.
Fractional coordinates of all 9 atoms:
Ba 0.5000 0.3333 0.6667  0.00
Ba 0.5000 0.6667 0.3333  0.00
N 0.5000 0.1585 0.1585  0.12
N 0.5000 0.0000 0.8415  0.12
N 0.5000 0.8415 0.0000  0.12
Br 0.0000 0.0000 0.4201  0.00
Br 0.0000 0.5799 0.5799  0.00
Br 0.0000 0.4201 0.0000  0.00
U 0.0000 0.0000 0.0000  0.07

Calculated values
Formation energy from raw total energies in eV per atom: -0.7447
Size of the total moment in μB per formula unit: 0.61

***

Record 2
Material: Ba3U2Br2N5
Method: DFT, PBE-GGA
State: optimized geometry

Cell: 4.4187 4.4187 13.7540 Å, 99.24 99.24 90.00°
Last column: magnetic moment on the atom in μB.
Fractional coordinates of all 12 atoms:
Br 0.7017 0.7017 0.4034  0.00
Br 0.2983 0.2983 0.5966  0.00
N 0.4126 0.9126 0.8252  -0.03
N 0.5000 0.5000 0.0000  -0.02
N 0.0874 0.5874 0.1748  -0.03
N 0.9126 0.4126 0.8252  -0.03
N 0.5874 0.0874 0.1748  -0.03
U 0.5799 0.5799 0.1599  0.56
U 0.4201 0.4201 0.8401  0.56
Ba 0.1549 0.1549 0.3098  0.00
Ba 0.8451 0.8451 0.6902  0.00
Ba 0.0000 0.0000 0.0000  0.01

Calculated values
Formation energy from raw total energies in eV per atom: -1.4369
Size of the total moment in μB per formula unit: 1.01

***

Record 3
Material: Ba5VBr2N4
Method: DFT, PBE-GGA
State: optimized geometry

Cell: 6.7034 5.9602 9.2036 Å, 90.00 90.00 124.22°
Fractional coordinates of all 12 atoms:
Ba 0.0951 0.3883 0.8123
Ba 0.7068 0.6117 0.1877
Ba 0.5397 0.0000 0.5000
Ba 0.7068 0.6117 0.8123
Ba 0.0951 0.3883 0.1877
V 0.3988 0.0000 0.0000
N 0.3798 0.3026 0.0000
N 0.0772 0.6974 0.0000
N 0.5524 0.0000 0.8298
N 0.5524 0.0000 0.1702
Br 0.3332 0.3648 0.5000
Br 0.9684 0.6352 0.5000

Calculated values
Formation energy from raw total energies in eV per atom: -0.9563
Size of the total moment in μB per formula unit: 0.07

***

Record 4
Material: BaWBrN2
Method: DFT, PBE-GGA
State: optimized geometry

Cell: 4.1754 5.2580 4.1754 Å, 90.00 90.00 90.00°
Fractional coordinates of all 5 atoms:
W 0.0000 0.0000 0.0000
Ba 0.5000 0.5000 0.5000
Br 0.0000 0.5000 0.0000
N 0.0000 0.0000 0.5000
N 0.5000 0.0000 0.0000

Calculated values
Formation energy from raw total energies in eV per atom: -0.2229
Size of the total moment in μB per formula unit: 0.00

***

Record 5
Material: BaNaBr
Method: DFT, PBE-GGA
State: optimized geometry

Cell: 5.6521 5.6521 10.0519 Å, 73.67 73.67 60.00°
Fractional coordinates of all 6 atoms:
Ba 0.5901 0.5901 0.2296
Ba 0.4099 0.4099 0.7704
Br 0.2909 0.2909 0.1272
Br 0.7091 0.7091 0.8728
Na 0.8305 0.8305 0.5085
Na 0.1695 0.1695 0.4915

Calculated values
Formation energy from raw total energies in eV per atom: -1.0121
Size of the total moment in μB per formula unit: 0.00
Offset from the most stable computed form in eV/f.u.: 0.000

***

Record 6
Material: BaNa2Br
Method: DFT, PBE-GGA
State: optimized geometry

Cell: 10.4053 10.4053 8.0478 Å, 49.72 49.72 90.00°
Fractional coordinates of all 8 atoms:
Br 0.5000 0.5000 0.0000
Br 0.2500 0.7500 0.5000
Na 0.3750 0.4424 0.7500
Na 0.1924 0.6250 0.2500
Na 0.5576 0.1250 0.2500
Na 0.8750 0.8076 0.7500
Ba 0.0000 0.0000 0.0000
Ba 0.7500 0.2500 0.5000

Calculated values
Formation energy from raw total energies in eV per atom: -0.6248
Size of the total moment in μB per formula unit: 0.00
Offset from the most stable computed form in eV/f.u.: 0.000

***

Record 7
Material: BaNa4Br6
Method: DFT, PBE-GGA
State: optimized geometry

Cell: 4.4043 7.3922 21.5379 Å, 90.00 90.00 107.33°
Fractional coordinates of all 22 atoms:
Na 0.5960 0.1919 0.8767
Na 0.1393 0.2786 0.4612
Na 0.5960 0.1919 0.6233
Na 0.4040 0.8081 0.1233
Na 0.8607 0.7214 0.5388
Na 0.8607 0.7214 0.9612
Na 0.4040 0.8081 0.3767
Na 0.1393 0.2786 0.0388
Br 0.9525 0.9050 0.8387
Br 0.3263 0.6527 0.2500
Br 0.5000 0.0000 0.0000
Br 0.9525 0.9050 0.6613
Br 0.7695 0.5390 0.4128
Br 0.7695 0.5390 0.0872
Br 0.0475 0.0950 0.3387
Br 0.0475 0.0950 0.1613
Br 0.2305 0.4610 0.5872
Br 0.5000 0.0000 0.5000
Br 0.6737 0.3473 0.7500
Br 0.2305 0.4610 0.9128
Ba 0.3401 0.6802 0.7500
Ba 0.6599 0.3198 0.2500

Calculated values
Formation energy from raw total energies in eV per atom: -1.7221
Size of the total moment in μB per formula unit: 0.00

***

Record 8
Material: Ba3NaBr7
Method: DFT, PBE-GGA
State: optimized geometry

Cell: 9.3264 9.3264 10.6698 Å, 90.00 90.00 107.94°
Fractional coordinates of all 22 atoms:
Br 0.3642 0.6358 0.2500
Br 0.6444 0.8904 0.5259
Br 0.6358 0.3642 0.7500
Br 0.3563 0.1103 0.4753
Br 0.6437 0.8897 0.9753
Br 0.6312 0.3688 0.2500
Br 0.3556 0.1096 0.0259
Br 0.1096 0.3556 0.9741
Br 0.0861 0.9139 0.7500
Br 0.1103 0.3563 0.5247
Br 0.8897 0.6437 0.0247
Br 0.8904 0.6444 0.4741
Br 0.9139 0.0861 0.2500
Br 0.3688 0.6312 0.7500
Na 0.0003 0.0003 0.5000
Na 0.9997 0.9997 0.0000
Ba 0.5002 0.5002 0.5000
Ba 0.4521 0.9973 0.7507
Ba 0.5479 0.0027 0.2507
Ba 0.4998 0.4998 0.0000
Ba 0.0027 0.5479 0.7493
Ba 0.9973 0.4521 0.2493

Calculated values
Formation energy from raw total energies in eV per atom: -2.0569
Size of the total moment in μB per formula unit: 0.00

***

| no. | V (Å³/cell) |
| --- | --- |
| 1 | 231 |
| 2 | 262 |
| 3 | 304 |
| 4 | 92 |
| 5 | 263 |
| 6 | 353 |
| 7 | 669 |
| 8 | 883 |